No. 1
Density functional theory data (PBE-GGA) for KBa2Ca after structural relaxation.

Properties
energy of formation = 145 meV per atom
crystal system = cubic
energy above the most stable polymorph in this dataset = 0.074 eV/atom
density of states at the Fermi level = 6.2 states/eV/f.u.

Lattice parameters (Å, degrees): 9.801 9.801 9.801 90.00 90.00 90.00
Space group F-43m (No. 216)
Unique sites:
K 0.000 0.000 0.000 x4
Ba 0.000 0.000 0.500 x4
Ba 0.250 0.250 0.250 x4
Ca 0.250 0.250 0.750 x4



No. 2
Density functional theory data (PBE-GGA) for KBa2Ca after structural relaxation.

Properties
energy of formation = 115 meV per atom
crystal system = tetragonal
energy above the most stable polymorph in this dataset = 0.045 eV/atom
density of states at the Fermi level = 5.0 states/eV/f.u.

Lattice parameters (Å, degrees): 6.302 6.302 11.957 90.00 90.00 90.00
Space group I4/mmm (No. 139)
Unique sites:
K 0.000 0.000 0.000 x2
Ba 0.000 0.500 0.250 x4
Ca 0.000 0.000 0.500 x2



No. 3
Density functional theory data (PBE-GGA) for K2BaCa2 after structural relaxation.

Properties
energy of formation = 308 meV per atom
crystal system = tetragonal
energy above the most stable polymorph in this dataset = 0.083 eV/atom
density of states at the Fermi level = 7.3 states/eV/f.u.

Lattice parameters (Å, degrees): 5.505 5.505 19.561 90.00 90.00 90.00
Space group I4/mmm (No. 139)
Unique sites:
K 0.000 0.000 0.101 x4
Ba 0.000 0.000 0.500 x2
Ca 0.000 0.500 0.250 x4



No. 4
Density functional theory data (PBE-GGA) for KBa2Ca after structural relaxation.

Properties
energy of formation = 121 meV per atom
crystal system = orthorhombic
energy above the most stable polymorph in this dataset = 0.050 eV/atom
density of states at the Fermi level = 5.0 states/eV/f.u.

Lattice parameters (Å, degrees): 4.805 6.949 7.050 90.00 90.00 90.00
Space group Pmmm (No. 47)
Unique sites:
K 0.000 0.000 0.000 x1
Ba 0.000 0.500 0.500 x1
Ba 0.500 0.500 0.000 x1
Ca 0.500 0.000 0.500 x1



No. 5
Density functional theory data (PBE-GGA) for K4BaCa after structural relaxation.

Properties
energy of formation = 175 meV per atom
crystal system = cubic
density of states at the Fermi level = 7.8 states/eV/f.u.

Lattice parameters (Å, degrees): 11.489 11.489 11.489 90.00 90.00 90.00
Space group F-43m (No. 216)
Unique sites:
K 0.124 0.124 0.376 x16
Ba 0.000 0.000 0.000 x4
Ca 0.250 0.250 0.750 x4



No. 6
Density functional theory data (PBE-GGA) for KBa2Ca2 after structural relaxation.

Properties
energy of formation = 295 meV per atom
crystal system = tetragonal
energy above the most stable polymorph in this dataset = 0.147 eV/atom
density of states at the Fermi level = 7.4 states/eV/f.u.

Lattice parameters (Å, degrees): 5.588 5.588 19.900 90.00 90.00 90.00
Space group I4/mmm (No. 139)
Unique sites:
K 0.000 0.000 0.000 x2
Ba 0.000 0.500 0.250 x4
Ca 0.000 0.000 0.403 x4



No. 7
Density functional theory data (PBE-GGA) for K2BaCa2 after structural relaxation.

Properties
energy of formation = 252 meV per atom
crystal system = tetragonal
energy above the most stable polymorph in this dataset = 0.028 eV/atom
density of states at the Fermi level = 9.3 states/eV/f.u.

Lattice parameters (Å, degrees): 5.383 5.383 20.506 90.00 90.00 90.00
Space group I4/mmm (No. 139)
Unique sites:
K 0.000 0.500 0.250 x4
Ba 0.000 0.000 0.000 x2
Ca 0.000 0.000 0.410 x4



No. 8
Density functional theory data (PBE-GGA) for KBa3Ca after structural relaxation.

Properties
energy of formation = 559 meV per atom
crystal system = cubic
energy above the most stable polymorph in this dataset = 0.165 eV/atom
density of states at the Fermi level = 11.4 states/eV/f.u.

Lattice parameters (Å, degrees): 6.936 6.936 6.936 90.00 90.00 90.00
Space group Pm-3m (No. 221)
Unique sites:
K 0.000 0.000 0.000 x1
Ba 0.000 0.000 0.500 x3
Ca 0.500 0.500 0.500 x1



No. 9
Density functional theory data (PBE-GGA) for KBa2Ca after structural relaxation.

Properties
energy of formation = 86 meV per atom
crystal system = orthorhombic
energy above the most stable polymorph in this dataset = 0.015 eV/atom
density of states at the Fermi level = 5.2 states/eV/f.u.

Lattice parameters (Å, degrees): 4.908 6.816 14.055 90.00 90.00 90.00
Space group Cmm2 (No. 35)
Unique sites:
K 0.000 0.000 0.000 x2
Ba 0.000 0.000 0.526 x2
Ba 0.000 0.500 0.272 x2
Ca 0.000 0.500 0.753 x2



No. 10
Density functional theory data (PBE-GGA) for KBa2Ca2 after structural relaxation.

Properties
energy of formation = 148 meV per atom
crystal system = tetragonal
energy above the most stable polymorph in this dataset = 0.000 eV/atom
density of states at the Fermi level = 6.5 states/eV/f.u.

Lattice parameters (Å, degrees): 11.427 11.427 4.545 90.00 90.00 90.00
Space group P4/mbm (No. 127)
Unique sites:
K 0.000 0.000 0.000 x2
Ba 0.175 0.325 0.500 x4
Ca 0.116 0.616 0.000 x4



No. 11
Density functional theory data (PBE-GGA) for KBa2Ca after structural relaxation.

Properties
energy of formation = 96 meV per atom
crystal system = trigonal
energy above the most stable polymorph in this dataset = 0.025 eV/atom
density of states at the Fermi level = 5.8 states/eV/f.u.

Lattice parameters (Å, degrees): 4.3311 4.3311 43.6315 90.00 90.00 120.00
Space group R3m (No. 160, hexagonal axes)
Unique sites:
K 0.0000 0.0000 0.0000 x3
Ba 0.0000 0.0000 0.2441 x3
Ba 0.0000 0.0000 0.4923 x3
Ca 0.0000 0.0000 0.7490 x3



No. 12
Density functional theory data (PBE-GGA) for KBa2Ca2 after structural relaxation.

Properties
energy of formation = 230 meV per atom
crystal system = tetragonal
energy above the most stable polymorph in this dataset = 0.082 eV/atom
density of states at the Fermi level = 7.3 states/eV/f.u.

Lattice parameters (Å, degrees): 4.982 4.982 24.644 90.00 90.00 90.00
Space group I4/mmm (No. 139)
Unique sites:
K 0.000 0.000 0.000 x2
Ba 0.000 0.000 0.387 x4
Ca 0.000 0.500 0.250 x4



Number 1: total DFT energy (no corrections) -1.59 eV/atom. Number 2: total DFT energy (no corrections) -1.62 eV/atom. Number 3: total DFT energy (no corrections) -1.32 eV/atom. Number 4: total DFT energy (no corrections) -1.62 eV/atom. Number 5: total DFT energy (no corrections) -1.21 eV/atom. Number 6: total DFT energy (no corrections) -1.49 eV/atom. Number 7: total DFT energy (no corrections) -1.37 eV/atom. Number 8: total DFT energy (no corrections) -1.21 eV/atom. Number 9: total DFT energy (no corrections) -1.65 eV/atom. Number 10: total DFT energy (no corrections) -1.64 eV/atom. Number 11: total DFT energy (no corrections) -1.64 eV/atom. Number 12: total DFT energy (no corrections) -1.56 eV/atom.